[1]
Entry from Alexandria: a relaxed structure of SrNbO3 (PBE).

Unit cell a=8.656 b=4.023 c=4.169 alpha=90.00 beta=90.00 gamma=103.44
Positions (direct):
Nb1 0.361 0.224 0.986
Nb2 0.104 0.096 0.486
Sr1 0.571 0.829 0.486
Sr2 0.894 0.490 0.986
O1 0.604 0.345 0.986
O2 0.368 0.727 0.986
O3 0.096 0.091 0.986
O4 0.097 0.592 0.486
O5 0.861 0.974 0.486
O6 0.369 0.228 0.486

Values from the calculation:
As for the density: 5375 kg/m³. As for the density of states at the Fermi level: 1.7 states/eV/f.u. The calculation puts the calculated total energy at -80.12 eV for the cell shown. Its uncorrected formation energy is -2687 meV/atom. The space-group type is Cmcm (63).

***

[2]
Entry from Alexandria: a relaxed structure of SrNbO3 (PBE).

Unit cell a=7.827 b=7.827 c=3.778 alpha=90.00 beta=90.00 gamma=131.90
Last column: magnetic moment on the atom in μB.
Positions (direct):
Sr1 0.845 0.155 0.750  0.00
Sr2 0.155 0.845 0.250  0.00
Nb1 0.587 0.413 0.750  -0.01
Nb2 0.413 0.587 0.250  -0.01
O1 0.000 0.000 0.000  0.16
O2 0.111 0.445 0.250  0.00
O3 0.555 0.889 0.250  0.00
O4 0.445 0.111 0.750  0.00
O5 0.889 0.555 0.750  0.00
O6 0.000 0.000 0.500  0.16

Values from the calculation:
As for the density: 4406 kg/m³. As for the density of states at the Fermi level: 1.4 states/eV/f.u. The calculation puts the calculated total energy at -71.64 eV for the cell shown. Its uncorrected formation energy is -1838 meV/atom. The space-group type is Cmcm (63).

***

[3]
Entry from Alexandria: a relaxed structure of SrNbO3 (PBE).

Unit cell a=7.574 b=7.574 c=7.574 alpha=60.00 beta=60.00 gamma=60.00
Last column: magnetic moment on the atom in μB.
Positions (direct):
Nb1 0.625 0.125 0.625  0.45
Nb2 0.125 0.625 0.625  0.33
Nb3 0.625 0.625 0.625  0.43
Nb4 0.625 0.625 0.125  0.43
O1 0.947 0.553 0.947  -0.01
O2 0.697 0.697 0.303  -0.01
O3 0.553 0.947 0.553  0.00
O4 0.947 0.553 0.553  -0.01
O5 0.303 0.303 0.697  -0.01
O6 0.697 0.303 0.697  0.00
O7 0.947 0.947 0.553  -0.01
O8 0.553 0.947 0.947  0.00
O9 0.553 0.553 0.947  -0.01
O10 0.303 0.697 0.697  -0.01
O11 0.697 0.303 0.303  0.00
O12 0.303 0.697 0.303  -0.01
Sr1 0.125 0.125 0.625  0.00
Sr2 0.125 0.625 0.125  0.00
Sr3 0.625 0.125 0.125  0.00
Sr4 0.125 0.125 0.125  0.00

Values from the calculation:
As for the density: 4940 kg/m³. As for the density of states at the Fermi level: 3.5 states/eV/f.u. The calculation puts the calculated total energy at -157.69 eV for the cell shown. Its uncorrected formation energy is -2560 meV/atom. The space-group type is Fd-3m (227).

***

[4]
Entry from Alexandria: a relaxed structure of Sr5Nb4O15 (PBE).

Unit cell a=5.741 b=5.741 c=11.668 alpha=89.90 beta=89.90 gamma=59.98
Positions (direct):
Sr1 0.000 0.000 0.000
Sr2 0.667 0.667 0.439
Sr3 0.333 0.333 0.220
Sr4 0.667 0.667 0.780
Sr5 0.333 0.333 0.561
O1 0.169 0.661 0.392
O2 0.169 0.169 0.392
O3 0.339 0.831 0.608
O4 0.000 0.500 0.000
O5 0.671 0.166 0.806
O6 0.831 0.831 0.608
O7 0.329 0.834 0.194
O8 0.166 0.671 0.806
O9 0.834 0.329 0.194
O10 0.834 0.834 0.194
O11 0.500 0.500 0.000
O12 0.661 0.169 0.392
O13 0.166 0.166 0.806
O14 0.831 0.339 0.608
O15 0.500 0.000 0.000
Nb1 0.666 0.666 0.106
Nb2 0.000 0.000 0.679
Nb3 0.334 0.334 0.894
Nb4 0.000 0.000 0.321

Values from the calculation:
As for the density: 5235 kg/m³. As for the density of states at the Fermi level: 0.0 states/eV/f.u. The calculation puts the calculated total energy at -191.46 eV for the cell shown. Its uncorrected formation energy is -2850 meV/atom. The space-group type is C2/m (12).

***

[5]
Entry from Alexandria: a relaxed structure of SrNbO3 (PBE).

Unit cell a=6.256 b=6.256 c=6.256 alpha=54.16 beta=54.16 gamma=54.16
Last column: magnetic moment on the atom in μB.
Positions (direct):
Nb1 0.344 0.344 0.344  0.86
Nb2 0.656 0.656 0.656  0.86
Sr1 0.866 0.866 0.866  0.02
Sr2 0.134 0.134 0.134  0.02
O1 0.471 0.057 0.687  0.00
O2 0.057 0.687 0.471  0.00
O3 0.313 0.529 0.943  0.00
O4 0.943 0.313 0.529  0.00
O5 0.529 0.943 0.313  0.00
O6 0.687 0.471 0.057  0.00

Values from the calculation:
As for the density: 5077 kg/m³. As for the density of states at the Fermi level: 3.3 states/eV/f.u. The calculation puts the calculated total energy at -79.07 eV for the cell shown. Its uncorrected formation energy is -2581 meV/atom. The space-group type is R-3 (148).

***

[6]
Entry from Alexandria: a relaxed structure of SrNbO3 (PBE).

Unit cell a=5.059 b=5.059 c=5.059 alpha=86.62 beta=86.62 gamma=86.62
Last column: magnetic moment on the atom in μB.
Positions (direct):
O1 0.671 0.095 0.671  0.00
O2 0.671 0.671 0.095  0.01
O3 0.095 0.671 0.671  0.00
Sr1 0.549 0.549 0.549  0.02
Nb1 0.889 0.889 0.889  0.56

Values from the calculation:
As for the density: 2946 kg/m³. As for the density of states at the Fermi level: 0.0 states/eV/f.u. The calculation puts the calculated total energy at -37.80 eV for the cell shown. Its uncorrected formation energy is -2235 meV/atom. The space-group type is R3m (160).

***

- The lowest calculated total energy belongs to which entry?
  Sr5Nb4O15

***

- Look up the density of the first one.
  5375 kg/m³

***

- What is the formula in the third record?
  SrNbO3

***

Copy entry 2 word for word.
Entry from Alexandria: a relaxed structure of SrNbO3 (PBE).

Unit cell a=7.827 b=7.827 c=3.778 alpha=90.00 beta=90.00 gamma=131.90
Last column: magnetic moment on the atom in μB.
Positions (direct):
Sr1 0.845 0.155 0.750  0.00
Sr2 0.155 0.845 0.250  0.00
Nb1 0.587 0.413 0.750  -0.01
Nb2 0.413 0.587 0.250  -0.01
O1 0.000 0.000 0.000  0.16
O2 0.111 0.445 0.250  0.00
O3 0.555 0.889 0.250  0.00
O4 0.445 0.111 0.750  0.00
O5 0.889 0.555 0.750  0.00
O6 0.000 0.000 0.500  0.16

Values from the calculation:
As for the density: 4406 kg/m³. As for the density of states at the Fermi level: 1.4 states/eV/f.u. The calculation puts the calculated total energy at -71.64 eV for the cell shown. Its uncorrected formation energy is -1838 meV/atom. The space-group type is Cmcm (63).